Density functional theory data (meta-GGA SCAN) for a PBEsol-optimized structure of RbNiPdF2.

Properties
- formation energy (no corrections) (eV per atom) = -0.235
- final energy (eV for the cell shown) = -77.94
- spin magnetization (μB/atom) = 0.2160

a b c (Å): 4.154 4.154 6.022
angles (deg): 90.00 90.00 90.00
Fractional positions:
1 Rb 0.000 0.000 0.000
2 Ni 0.500 0.500 0.000
3 Pd 0.000 0.000 0.500
4 F 0.000 0.500 0.500
5 F 0.500 0.000 0.500

Density functional theory data (meta-GGA SCAN) for a PBEsol-optimized structure of NiSnPd2F.

Properties
- formation energy (no corrections) (eV per atom) = 0.708
- final energy (eV for the cell shown) = -117.64
- spin magnetization (μB/atom) = 0.2477

a b c (Å): 4.890 4.890 4.658
angles (deg): 90.00 90.00 90.00
Fractional positions:
1 Ni 0.000 0.000 0.000
2 Sn 0.000 0.000 0.500
3 Pd 0.000 0.500 0.500
4 Pd 0.500 0.000 0.500
5 F 0.500 0.500 0.000

Density functional theory data (meta-GGA SCAN) for a PBEsol-optimized structure of Zn2NiPdF.

Properties
- formation energy (no corrections) (eV per atom) = 0.304
- final energy (eV for the cell shown) = -78.00
- spin magnetization (μB/atom) = 0.0077

a b c (Å): 4.737 4.737 3.901
angles (deg): 90.00 90.00 90.00
Fractional positions:
1 Zn 0.000 0.500 0.000
2 Zn 0.500 0.000 0.000
3 Ni 0.000 0.000 0.500
4 Pd 0.500 0.500 0.000
5 F 0.500 0.500 0.500

Density functional theory data (meta-GGA SCAN) for a PBEsol-optimized structure of NiPtF6.

Properties
- formation energy (no corrections) (eV per atom) = -1.820
- final energy (eV for the cell shown) = -122.17
- spin magnetization (μB/atom) = 0.2516

a b c (Å): 5.331 5.331 5.331
angles (deg): 54.64 54.64 54.64
Fractional positions:
1 Ni 0.000 0.000 0.000
2 Pt 0.500 0.500 0.500
3 F 0.096 0.750 0.404
4 F 0.250 0.596 0.904
5 F 0.404 0.096 0.750
6 F 0.596 0.904 0.250
7 F 0.750 0.404 0.096
8 F 0.904 0.250 0.596

Density functional theory data (meta-GGA SCAN) for a PBEsol-optimized structure of Ni3PtF.

Properties
- formation energy (no corrections) (eV per atom) = -0.082
- final energy (eV for the cell shown) = -122.66
- spin magnetization (μB/atom) = 0.7373

a b c (Å): 3.879 3.879 3.879
angles (deg): 90.00 90.00 90.00
Fractional positions:
1 Ni 0.000 0.000 0.500
2 Ni 0.000 0.500 0.000
3 Ni 0.500 0.000 0.000
4 Pt 0.500 0.500 0.500
5 F 0.000 0.000 0.000

Density functional theory data (meta-GGA SCAN) for a PBEsol-optimized structure of NiPtS2F.

Properties
- formation energy (no corrections) (eV per atom) = 0.209
- final energy (eV for the cell shown) = -108.12
- spin magnetization (μB/atom) = 0.3948

a b c (Å): 4.623 4.623 3.969
angles (deg): 90.00 90.00 90.00
Fractional positions:
1 Ni 0.000 0.000 0.000
2 Pt 0.500 0.500 0.500
3 S 0.000 0.500 0.500
4 S 0.500 0.000 0.500
5 F 0.500 0.500 0.000

Density functional theory data (meta-GGA SCAN) for a PBEsol-optimized structure of RbNi2F6.

Properties
- formation energy (no corrections) (eV per atom) = -2.403
- final energy (eV for the cell shown) = -191.91
- spin magnetization (μB/atom) = 0.3333

a b c (Å): 7.038 7.038 7.038
angles (deg): 60.00 60.00 60.00
Fractional positions:
1 Rb 0.125 0.125 0.125
2 Rb 0.875 0.875 0.875
3 Ni 0.000 0.500 0.500
4 Ni 0.500 0.000 0.500
5 Ni 0.500 0.500 0.000
6 Ni 0.500 0.500 0.500
7 F 0.176 0.176 0.574
8 F 0.176 0.574 0.176
9 F 0.176 0.574 0.574
10 F 0.426 0.426 0.824
11 F 0.426 0.824 0.426
12 F 0.426 0.824 0.824
13 F 0.574 0.176 0.176
14 F 0.574 0.176 0.574
15 F 0.574 0.574 0.176
16 F 0.824 0.426 0.426
17 F 0.824 0.426 0.824
18 F 0.824 0.824 0.426

Density functional theory data (meta-GGA SCAN) for a PBEsol-optimized structure of Rb2NiF4.

Properties
- formation energy (no corrections) (eV per atom) = -2.719
- final energy (eV for the cell shown) = -90.84
- spin magnetization (μB/atom) = 0.2863

a b c (Å): 7.357 7.357 7.357
angles (deg): 147.92 147.92 46.00
Fractional positions:
1 Rb 0.146 0.146 0.000
2 Rb 0.854 0.854 0.000
3 Ni 0.500 0.500 0.000
4 F 0.000 0.500 0.500
5 F 0.353 0.353 0.000
6 F 0.500 0.000 0.500
7 F 0.647 0.647 0.000

Density functional theory data (meta-GGA SCAN) for a PBEsol-optimized structure of Rb2NiF6.

Properties
- formation energy (no corrections) (eV per atom) = -2.478
- final energy (eV for the cell shown) = -101.20
- spin magnetization (μB/atom) = 0.0291

a b c (Å): 5.909 5.909 5.909
angles (deg): 60.00 60.00 60.00
Fractional positions:
1 Rb 0.250 0.250 0.250
2 Rb 0.750 0.750 0.750
3 Ni 0.000 0.000 0.000
4 F 0.214 0.214 0.786
5 F 0.214 0.786 0.214
6 F 0.214 0.786 0.786
7 F 0.786 0.214 0.214
8 F 0.786 0.214 0.786
9 F 0.786 0.786 0.214

Density functional theory data (meta-GGA SCAN) for a PBEsol-optimized structure of NiRhF6.

Properties
- formation energy (no corrections) (eV per atom) = -1.929
- final energy (eV for the cell shown) = -86.62
- spin magnetization (μB/atom) = 0.3797

a b c (Å): 5.278 5.278 5.278
angles (deg): 54.98 54.98 54.98
Fractional positions:
1 Ni 0.000 0.000 0.000
2 Rh 0.500 0.500 0.500
3 F 0.102 0.399 0.747
4 F 0.253 0.898 0.601
5 F 0.399 0.747 0.102
6 F 0.601 0.253 0.898
7 F 0.747 0.102 0.399
8 F 0.898 0.601 0.253

Density functional theory data (meta-GGA SCAN) for a PBEsol-optimized structure of Ni3RhF.

Properties
- formation energy (no corrections) (eV per atom) = 1.112
- final energy (eV for the cell shown) = -80.27
- spin magnetization (μB/atom) = 0.8864

a b c (Å): 4.447 4.447 4.447
angles (deg): 90.00 90.00 90.00
Fractional positions:
1 Ni 0.000 0.000 0.500
2 Ni 0.000 0.500 0.000
3 Ni 0.500 0.000 0.000
4 Rh 0.000 0.000 0.000
5 F 0.500 0.500 0.500

Density functional theory data (meta-GGA SCAN) for a PBEsol-optimized structure of Zn2NiRhF.

Properties
- formation energy (no corrections) (eV per atom) = -0.215
- final energy (eV for the cell shown) = -81.59
- spin magnetization (μB/atom) = 0.1623

a b c (Å): 4.196 4.196 3.660
angles (deg): 90.00 90.00 90.00
Fractional positions:
1 Zn 0.000 0.500 0.000
2 Zn 0.500 0.000 0.000
3 Ni 0.000 0.000 0.500
4 Rh 0.500 0.500 0.500
5 F 0.000 0.000 0.000